Record 1
Entry from Alexandria via LeMat-Bulk: crystalline LiZrPt2 at its relaxed geometry (PBE).

It has space group Fm-3m (No. 225), with a = 6.4345 Å, b = 6.4345 Å, c = 6.4345 Å, α = 90.00°, β = 90.00° and γ = 90.00°. Symmetry generates all atoms from Li at (0.0000, 0.0000, 0.0000), Zr at (0.0000, 0.0000, 0.5000) and Pt at (0.2500, 0.2500, 0.2500).

Its raw total energy is -6.5237 eV per atom. The density of states at the Fermi level is 2.7 states/eV/f.u. For the total magnetization, the calculation gives 0.0 μB per formula unit. Its energy relative to the elements is -887.8 meV/atom.



Record 2
Entry from Alexandria via LeMat-Bulk: crystalline LiZrPt2 at its relaxed geometry (PBE).

It has space group Pmmm (No. 47), with a = 3.3779 Å, b = 3.4042 Å, c = 5.7242 Å, α = 90.00°, β = 90.00° and γ = 90.00°. Symmetry generates all atoms from Li at (0.0000, 0.0000, 0.0000), Zr at (0.0000, 0.0000, 0.5000) and Pt at (0.5000, 0.5000, 0.2375).

Its raw total energy is -6.5352 eV per atom. The density of states at the Fermi level is 1.5 states/eV/f.u. For the total magnetization, the calculation gives 0.0 μB per formula unit. Its energy relative to the elements is -899.3 meV/atom.



Record 3
Entry from Alexandria via LeMat-Bulk: crystalline LiZrPt2 at its relaxed geometry (PBE).

It has space group P4mm (No. 99), with a = 2.8629 Å, b = 2.8629 Å, c = 8.2331 Å, α = 90.00°, β = 90.00° and γ = 90.00°. Symmetry generates all atoms from Li at (0.0000, 0.0000, 0.0000), Zr at (0.5000, 0.5000, 0.6958), Pt at (0.0000, 0.0000, 0.4459) and Pt at (0.5000, 0.5000, 0.1962).

Its raw total energy is -5.9404 eV per atom. The density of states at the Fermi level is 1.9 states/eV/f.u. For the total magnetization, the calculation gives 0.0 μB per formula unit. Its energy relative to the elements is -304.6 meV/atom.



Record 4
Entry from Alexandria via LeMat-Bulk: crystalline LiZr2Pt6 at its relaxed geometry (PBE).

It has space group P-62m (No. 189), with a = 7.6982 Å, b = 7.6982 Å, c = 2.8889 Å, α = 90.00°, β = 90.00° and γ = 120.00°. Symmetry generates all atoms from Li at (0.0000, 0.0000, 0.0000), Zr at (0.3333, 0.6667, 0.5000), Pt at (0.0000, 0.2889, 0.5000) and Pt at (0.0000, 0.6424, 0.0000).

Its raw total energy is -6.8184 eV per atom. The density of states at the Fermi level is 4.3 states/eV/f.u. For the total magnetization, the calculation gives 0.0 μB per formula unit. Its energy relative to the elements is -678.9 meV/atom.



E above lowest polymorph readings, ordered: 0.011, 0.000, 0.595, 0.000 eV per atom